Record 1
LiGeSbRh: optimized geometry, PBE.

Cell lengths 4.567, 4.567, 4.567 Å; angles 60.00, 60.00, 60.00 degrees
Sites, in units of the cell vectors:
Sb  0.750  0.750  0.750
Ge  0.250  0.250  0.250
Li  0.000  0.000  0.000
Rh  0.500  0.500  0.500

Properties
Energy   -4.832 eV/atom
D(E_F)   3.69 states/eV/f.u.
Space group   F-43m
Uncorrected formation energy   -7.6 kcal/mol of atoms
Magnetization   0.0 μB/cell

=====

Record 2
LiSiGeRh: optimized geometry, PBE.

Cell lengths 4.269, 4.269, 4.269 Å; angles 60.00, 60.00, 60.00 degrees
Sites, in units of the cell vectors:
Ge  0.250  0.250  0.250
Si  0.750  0.750  0.750
Rh  0.000  0.000  0.000
Li  0.500  0.500  0.500

Properties
Energy   -5.206 eV/atom
D(E_F)   2.21 states/eV/f.u.
Space group   F-43m
Uncorrected formation energy   -8.8 kcal/mol of atoms
Magnetization   0.0 μB/cell

=====

Record 3
LiSm2Ge4Rh3: optimized geometry, PBE.

Cell lengths 4.310, 4.310, 9.905 Å; angles 90.00, 90.00, 90.00 degrees
Sites, in units of the cell vectors:
Ge  0.000  0.000  0.000
Rh  0.500  0.000  0.875
Sm  0.000  0.500  0.755
Ge  0.500  0.500  0.000
Sm  0.500  0.000  0.245
Li  0.500  0.500  0.500
Rh  0.000  0.000  0.500
Ge  0.000  0.500  0.370
Ge  0.500  0.000  0.630
Rh  0.000  0.500  0.125

Properties
Calculated formation energy   -0.77 eV/atom
Energy   -5.960 eV/atom
D(E_F)   5.75 states/eV/f.u.
Space group   P-4m2
Magnetization   0.0 μB/cell

=====

Record 4
LiSm2Ge2Rh5: optimized geometry, PBE.

Cell lengths 3.529, 9.938, 9.938 Å; angles 90.00, 90.00, 90.00 degrees
Sites, in units of the cell vectors:
Rh  0.500  0.566  0.708
Rh  0.500  0.434  0.292
Li  0.000  0.000  0.000
Rh  0.500  0.000  0.500
Ge  0.000  0.873  0.373
Rh  0.500  0.208  0.066
Ge  0.000  0.373  0.127
Rh  0.500  0.500  0.000
Sm  0.000  0.827  0.673
Ge  0.000  0.627  0.873
Rh  0.500  0.792  0.934
Rh  0.500  0.292  0.566
Sm  0.000  0.327  0.827
Sm  0.000  0.173  0.327
Rh  0.500  0.066  0.792
Sm  0.000  0.673  0.173
Rh  0.500  0.708  0.434
Rh  0.500  0.934  0.208
Li  0.000  0.500  0.500
Ge  0.000  0.127  0.627

Properties
Calculated formation energy   -0.64 eV/atom
Energy   -6.375 eV/atom
D(E_F)   4.15 states/eV/f.u.
Space group   P4/mbm
Magnetization   0.0 μB/cell

=====

Record 5
LiSnGeRh: optimized geometry, PBE.

Cell lengths 4.523, 4.523, 4.523 Å; angles 60.00, 60.00, 60.00 degrees
Sites, in units of the cell vectors:
Ge  0.750  0.750  0.750
Sn  0.250  0.250  0.250
Rh  0.000  0.000  0.000
Li  0.500  0.500  0.500

Properties
Calculated formation energy   -0.35 eV/atom
Energy   -4.818 eV/atom
D(E_F)   2.49 states/eV/f.u.
Space group   F-43m
Magnetization   0.0 μB/cell

=====

Record 6
SrLi2GeRh2: optimized geometry, PBE.

Cell lengths 4.669, 4.669, 6.096 Å; angles 90.00, 90.00, 90.00 degrees
Sites, in units of the cell vectors:
Rh  0.500  0.000  0.000
Rh  0.000  0.500  0.000
Li  0.500  0.500  0.785
Ge  0.000  0.000  0.000
Sr  0.000  0.000  0.500
Li  0.500  0.500  0.215

Properties
Calculated formation energy   -0.24 eV/atom
Energy   -4.380 eV/atom
D(E_F)   4.63 states/eV/f.u.
Space group   P4/mmm
Magnetization   0.0 μB/cell

=====

Record 7
SrLiGe2Rh: optimized geometry, PBE.

Cell lengths 4.335, 4.335, 6.070 Å; angles 110.92, 110.92, 90.00 degrees
Sites, in units of the cell vectors:
Rh  0.750  0.250  0.500
Li  0.250  0.750  0.500
Sr  0.000  0.000  0.000
Ge  0.627  0.627  0.254
Ge  0.373  0.373  0.746

Properties
Calculated formation energy   -0.57 eV/atom
Energy   -4.602 eV/atom
D(E_F)   2.15 states/eV/f.u.
Space group   I-4m2
Magnetization   0.0 μB/cell

=====

Record 8
Sr2LiGeRh: optimized geometry, PBE.

Cell lengths 5.839, 5.839, 4.759 Å; angles 90.00, 90.00, 90.00 degrees
Sites, in units of the cell vectors:
Li  0.500  0.500  0.500
Sr  0.000  0.500  0.000
Sr  0.500  0.000  0.000
Ge  0.000  0.000  0.500
Rh  0.000  0.000  0.000

Properties
Calculated formation energy   -0.25 eV/atom
Energy   -3.704 eV/atom
D(E_F)   3.61 states/eV/f.u.
Space group   P4/mmm
Magnetization   0.0 μB/cell

=====

Record 9
LiTb2Ge4Rh3: optimized geometry, PBE.

Cell lengths 4.241, 4.241, 10.049 Å; angles 90.00, 90.00, 90.00 degrees
Sites, in units of the cell vectors:
Rh  0.000  0.500  0.127
Ge  0.500  0.500  0.000
Tb  0.000  0.500  0.756
Li  0.500  0.500  0.500
Rh  0.000  0.000  0.500
Rh  0.500  0.000  0.873
Ge  0.000  0.500  0.368
Tb  0.500  0.000  0.244
Ge  0.000  0.000  0.000
Ge  0.500  0.000  0.632

Properties
Calculated formation energy   -0.76 eV/atom
Energy   -5.927 eV/atom
D(E_F)   5.68 states/eV/f.u.
Space group   P-4m2
Magnetization   0.0 μB/cell

=====

Record 10
LiThGe2Rh5: optimized geometry, PBE.

Cell lengths 4.151, 4.151, 11.722 Å; angles 90.00, 90.00, 90.00 degrees
Sites, in units of the cell vectors:
Ge  0.000  0.000  0.784
Ge  0.000  0.000  0.216
Rh  0.500  0.000  0.323
Th  0.500  0.500  0.500
Rh  0.000  0.500  0.323
Rh  0.000  0.500  0.677
Rh  0.000  0.000  0.500
Li  0.000  0.000  0.000
Rh  0.500  0.000  0.677

Properties
Calculated formation energy   -0.31 eV/atom
Energy   -6.460 eV/atom
D(E_F)   9.78 states/eV/f.u.
Space group   P4/mmm
Magnetization   0.0 μB/cell

=====

Record 11
LiThGe2Rh: optimized geometry, PBE.

Cell lengths 4.175, 4.175, 6.069 Å; angles 110.12, 110.12, 90.00 degrees
Sites, in units of the cell vectors:
Th  0.000  0.000  0.000
Ge  0.380  0.380  0.760
Ge  0.620  0.620  0.240
Li  0.750  0.250  0.500
Rh  0.250  0.750  0.500

Properties
Calculated formation energy   -0.74 eV/atom
Energy   -5.921 eV/atom
D(E_F)   3.29 states/eV/f.u.
Space group   I-4m2
Magnetization   0.0 μB/cell

=====

Record 12
LiTh4Ge3Rh12: optimized geometry, PBE.

Cell lengths 7.855, 7.855, 7.855 Å; angles 109.47, 109.47, 109.47 degrees
Sites, in units of the cell vectors:
Rh  0.243  0.000  0.243
Th  0.500  0.000  0.000
Th  0.500  0.500  0.500
Rh  0.750  0.250  0.500
Ge  0.500  0.500  0.000
Rh  0.750  0.500  0.250
Rh  0.000  0.243  0.243
Rh  0.243  0.243  0.000
Rh  0.250  0.750  0.500
Rh  0.757  0.000  0.757
Rh  0.000  0.757  0.757
Ge  0.000  0.500  0.500
Rh  0.500  0.250  0.750
Th  0.000  0.000  0.500
Li  0.000  0.000  0.000
Ge  0.500  0.000  0.500
Th  0.000  0.500  0.000
Rh  0.250  0.500  0.750
Rh  0.500  0.750  0.250
Rh  0.757  0.757  0.000

Properties
Calculated formation energy   -0.46 eV/atom
Energy   -7.139 eV/atom
D(E_F)   7.50 states/eV/f.u.
Space group   Im-3m
Magnetization   0.0 μB/cell

=====

Record 13
LiTh2Ge4Rh3: optimized geometry, PBE.

Cell lengths 4.298, 4.298, 10.075 Å; angles 90.00, 90.00, 90.00 degrees
Sites, in units of the cell vectors:
Rh  0.000  0.500  0.125
Ge  0.500  0.000  0.631
Li  0.500  0.500  0.500
Rh  0.000  0.000  0.500
Ge  0.500  0.500  0.000
Rh  0.500  0.000  0.875
Ge  0.000  0.500  0.369
Th  0.500  0.000  0.249
Ge  0.000  0.000  0.000
Th  0.000  0.500  0.751

Properties
Calculated formation energy   -0.79 eV/atom
Energy   -6.521 eV/atom
D(E_F)   6.49 states/eV/f.u.
Space group   P-4m2
Magnetization   0.0 μB/cell

=====

Record 14
LiTm2Ge2Rh5: optimized geometry, PBE.

Cell lengths 3.473, 9.773, 9.773 Å; angles 90.00, 90.00, 90.00 degrees
Sites, in units of the cell vectors:
Rh  0.500  0.566  0.705
Tm  0.000  0.829  0.671
Rh  0.500  0.434  0.295
Tm  0.000  0.671  0.171
Rh  0.500  0.000  0.500
Tm  0.000  0.329  0.829
Rh  0.500  0.705  0.434
Li  0.000  0.500  0.500
Rh  0.500  0.066  0.795
Ge  0.000  0.629  0.871
Rh  0.500  0.205  0.066
Li  0.000  0.000  0.000
Rh  0.500  0.795  0.934
Ge  0.000  0.371  0.129
Ge  0.000  0.129  0.629
Ge  0.000  0.871  0.371
Rh  0.500  0.500  0.000
Tm  0.000  0.171  0.329
Rh  0.500  0.934  0.205
Rh  0.500  0.295  0.566

Properties
Calculated formation energy   -0.72 eV/atom
Energy   -6.403 eV/atom
D(E_F)   4.17 states/eV/f.u.
Space group   P4/mbm
Magnetization   0.0 μB/cell

=====

Record 15
LiUGeRh: optimized geometry, PBE.

Cell lengths 4.592, 4.592, 4.592 Å; angles 60.00, 60.00, 60.00 degrees
Sites, in units of the cell vectors:
U  0.750  0.750  0.750
Rh  0.500  0.500  0.500
Li  0.000  0.000  0.000
Ge  0.250  0.250  0.250

Properties
Calculated formation energy   -0.29 eV/atom
Energy   -6.585 eV/atom
D(E_F)   7.41 states/eV/f.u.
Space group   F-43m
Magnetization   2.0 μB/cell

=====

Record 16
LiYGeRh: optimized geometry, PBE.

Cell lengths 4.590, 4.590, 4.590 Å; angles 60.00, 60.00, 60.00 degrees
Sites, in units of the cell vectors:
Ge  0.500  0.500  0.500
Rh  0.750  0.750  0.750
Y  0.000  0.000  0.000
Li  0.250  0.250  0.250

Properties
Calculated formation energy   -0.64 eV/atom
Energy   -5.722 eV/atom
D(E_F)   4.48 states/eV/f.u.
Space group   F-43m
Magnetization   0.0 μB/cell

=====

Record 17
LiGeRu: optimized geometry, PBE.

Cell lengths 3.920, 3.920, 6.504 Å; angles 90.00, 90.00, 90.00 degrees
Sites, in units of the cell vectors:
Ge  0.000  0.500  0.259
Ge  0.500  0.000  0.741
Li  0.500  0.000  0.163
Ru  0.000  0.000  0.500
Li  0.000  0.500  0.837
Ru  0.500  0.500  0.500

Properties
Calculated formation energy   -0.24 eV/atom
Energy   -5.508 eV/atom
D(E_F)   2.32 states/eV/f.u.
Space group   P4/nmm
Magnetization   0.7 μB/cell

=====

Record 18
LiGeRu: optimized geometry, PBE.

Cell lengths 2.874, 4.088, 4.088 Å; angles 120.00, 90.00, 90.00 degrees
Sites, in units of the cell vectors:
Ge  0.678  0.333  0.667
Li  0.386  0.667  0.333
Ru  0.936  0.000  0.000

Properties
Calculated formation energy   -0.17 eV/atom
Energy   -5.440 eV/atom
D(E_F)   2.00 states/eV/f.u.
Space group   P3m1
Magnetization   0.0 μB/cell

=====

Record 19
LiGeRu: optimized geometry, PBE.

Cell lengths 2.957, 4.414, 7.093 Å; angles 90.00, 89.94, 90.00 degrees
Sites, in units of the cell vectors:
Li  0.501  0.976  0.068
Ge  0.001  0.476  0.922
Li  0.002  0.476  0.309
Ru  0.001  0.976  0.744
Ge  0.502  0.976  0.455
Ru  0.502  0.476  0.633

Properties
Calculated formation energy   -0.28 eV/atom
Energy   -5.547 eV/atom
D(E_F)   1.51 states/eV/f.u.
Space group   Pmmn
Magnetization   0.0 μB/cell

=====

Record 20
Li12Ge6Ru: optimized geometry, PBE.

Cell lengths 6.748, 6.748, 6.748 Å; angles 87.76, 87.76, 87.76 degrees
Sites, in units of the cell vectors:
Li  0.630  0.859  0.972
Ge  0.266  0.882  0.736
Ge  0.118  0.264  0.734
Li  0.028  0.370  0.141
Li  0.141  0.028  0.370
Ge  0.882  0.736  0.266
Li  0.486  0.186  0.575
Li  0.575  0.486  0.186
Li  0.370  0.141  0.028
Li  0.814  0.425  0.514
Ge  0.264  0.734  0.118
Ge  0.734  0.118  0.264
Li  0.514  0.814  0.425
Li  0.186  0.575  0.486
Li  0.425  0.514  0.814
Ge  0.736  0.266  0.882
Ru  0.000  0.000  0.000
Li  0.972  0.630  0.859
Li  0.859  0.972  0.630

Properties
Calculated formation energy   -0.29 eV/atom
Energy   -3.441 eV/atom
D(E_F)   6.85 states/eV/f.u.
Space group   R-3
Magnetization   0.0 μB/cell

=====

Record 21
LiGeRu3: optimized geometry, PBE.

Cell lengths 4.572, 4.572, 4.572 Å; angles 90.00, 90.00, 90.00 degrees
Sites, in units of the cell vectors:
Ge  0.000  0.000  0.000
Li  0.500  0.500  0.500
Ru  0.000  0.500  0.000
Ru  0.500  0.000  0.000
Ru  0.000  0.000  0.500

Properties
Calculated formation energy   1.06 eV/atom
Energy   -5.813 eV/atom
D(E_F)   4.74 states/eV/f.u.
Space group   Pm-3m
Energy above the lowest structure with this stoichiometry   0.070 eV per atom
Magnetization   2.6 μB/cell

=====

Record 22
LiGeRu: optimized geometry, PBE.

Cell lengths 5.088, 4.310, 4.403 Å; angles 90.00, 89.96, 64.96 degrees
Sites, in units of the cell vectors:
Li  0.885  0.322  0.622
Ru  0.520  0.004  0.621
Ge  0.277  0.625  0.621
Ge  0.768  0.878  0.121
Li  0.160  0.181  0.122
Ru  0.525  0.500  0.121

Properties
Calculated formation energy   -0.31 eV/atom
Energy   -5.577 eV/atom
D(E_F)   0.80 states/eV/f.u.
Space group   P2_1/m
Magnetization   0.0 μB/cell

=====

Record 23
Li2Ge4Ru3: optimized geometry, PBE.

Cell lengths 5.343, 5.343, 6.782 Å; angles 102.39, 102.39, 117.08 degrees
Sites, in units of the cell vectors:
Li  0.607  0.607  0.213
Ge  0.664  0.017  0.681
Ge  0.983  0.336  0.319
Ru  0.000  0.000  0.000
Ru  0.500  0.000  0.000
Li  0.393  0.393  0.787
Ge  0.336  0.983  0.319
Ge  0.017  0.664  0.681
Ru  0.000  0.500  0.000

Properties
Calculated formation energy   -0.01 eV/atom
Energy   -5.580 eV/atom
D(E_F)   6.32 states/eV/f.u.
Space group   Fmmm
Magnetization   1.8 μB/cell

=====

Record 24
LiGe2Ru: optimized geometry, PBE.

Cell lengths 4.185, 4.185, 6.800 Å; angles 72.08, 72.08, 60.00 degrees
Sites, in units of the cell vectors:
Ru  0.500  0.500  0.500
Ge  0.867  0.867  0.399
Ge  0.133  0.133  0.601
Li  0.000  0.000  0.000

Properties
Calculated formation energy   0.21 eV/atom
Energy   -4.899 eV/atom
D(E_F)   2.56 states/eV/f.u.
Space group   R-3m
Energy above the lowest structure with this stoichiometry   0.439 eV per atom
Magnetization   0.0 μB/cell

=====

Number 1: V 16.838 Å³ per atom. Number 2: V 13.751 Å³ per atom. Number 3: V 18.401 Å³ per atom. Number 4: V 17.426 Å³ per atom. Number 5: V 16.362 Å³ per atom. Number 6: V 22.145 Å³ per atom. Number 7: V 19.692 Å³ per atom. Number 8: V 32.456 Å³ per atom. Number 9: V 18.075 Å³ per atom. Number 10: V 22.448 Å³ per atom. Number 11: V 18.488 Å³ per atom. Number 12: V 18.657 Å³ per atom. Number 13: V 18.613 Å³ per atom. Number 14: V 16.582 Å³ per atom. Number 15: V 17.121 Å³ per atom. Number 16: V 17.090 Å³ per atom. Number 17: V 16.661 Å³ per atom. Number 18: V 13.866 Å³ per atom. Number 19: V 15.429 Å³ per atom. Number 20: V 16.140 Å³ per atom. Number 21: V 19.114 Å³ per atom. Number 22: V 14.578 Å³ per atom. Number 23: V 17.461 Å³ per atom. Number 24: V 24.107 Å³ per atom.